1.
Below is KLaTlTe2 after structural relaxation, with properties calculated at the PBE-GGA level.

Properties
* raw total energy: -2.64 eV per atom
* energy relative to the elements, uncorrected: 298.4 meV per atom
* space-group type: No. 123
* magnetic moment: 0.0001 μB/atom

POSCAR file:
```
KLaTlTe2
1.0
-2.1745 -3.8560 -4.1205
3.1665 -3.9585 2.0333
-4.4219 -1.5794 3.8115
K Te Tl La
1 2 1 1
direct
0.0000 0.0000 0.0000
0.0000 0.0000 0.5000
0.5000 0.0000 0.0000
0.5000 0.5000 0.5000
0.0000 0.5000 0.0000
```

2.
Below is K3La3TmTe8 after structural relaxation, with properties calculated at the PBE-GGA level.

Properties
* raw total energy: -4.55 eV per atom
* energy relative to the elements, uncorrected: -1371.0 meV per atom
* space-group type: No. 12
* magnetic moment: 0.0000 μB/atom

POSCAR file:
```
K3La3TmTe8
1.0
9.2159 0.0003 -0.0001
-4.6076 7.9919 -0.0337
-0.0003 -5.2998 8.4263
La Tm K Te
3 1 3 8
direct
0.0000 0.5000 0.5000
0.5000 0.0000 0.5000
0.5000 0.5000 0.5000
0.0000 0.0000 0.5000
0.5000 0.5000 0.0000
0.0000 0.5000 0.0000
0.0000 0.0000 0.0000
0.2606 0.5212 0.2818
0.2286 0.4572 0.7072
0.7714 0.0213 0.2927
0.7501 0.9787 0.7073
0.2286 0.9787 0.7073
0.2499 0.0213 0.2927
0.7394 0.4788 0.7182
0.7714 0.5428 0.2928
```